Entry 1:
! Tm2InCl | Alexandria | PBE | optimized geometry; values from VASP
! - crystal system = trigonal
! - SG = R-3m
! - theoretical density (g/cm³) = 7.51
! - calculated volume (Å³ per atom) = 26.997
! - energy (eV for the cell shown) = -46.1
! - formation energy from raw total energies (eV per formula unit) = -1.842
&SYSTEM
  ibrav = 0, nat = 12, ntyp = 3
/
ATOMIC_SPECIES
Tm 168.93 Tm.upf
In 114.82 In.upf
Cl 35.45 Cl.upf
CELL_PARAMETERS angstrom
3.418 0.000 0.000
-1.709 2.960 0.000
0.000 0.000 32.028
ATOMIC_POSITIONS crystal
Tm 0.000 0.000 0.098
Tm 0.000 0.000 0.902
Tm 0.333 0.667 0.569
Tm 0.333 0.667 0.764
Tm 0.667 0.333 0.236
Tm 0.667 0.333 0.431
In 0.000 0.000 0.000
In 0.333 0.667 0.667
In 0.667 0.333 0.333
Cl 0.000 0.000 0.500
Cl 0.333 0.667 0.167
Cl 0.667 0.333 0.833

***

Entry 2:
! TmIn4Cl6 | Alexandria | PBE | optimized geometry; values from VASP
! - crystal system = tetragonal
! - SG = P4/mnc
! - theoretical density (g/cm³) = 3.72
! - calculated volume (Å³ per atom) = 34.138
! - energy (eV for the cell shown) = -78.7
! - formation energy from raw total energies (eV per formula unit) = -12.838
&SYSTEM
  ibrav = 0, nat = 22, ntyp = 3
/
ATOMIC_SPECIES
Tm 168.93 Tm.upf
In 114.82 In.upf
Cl 35.45 Cl.upf
CELL_PARAMETERS angstrom
8.369 0.000 0.000
0.000 8.369 0.000
0.000 0.000 10.723
ATOMIC_POSITIONS crystal
Tm 0.000 0.000 0.000
Tm 0.500 0.500 0.500
In 0.152 0.348 0.250
In 0.152 0.348 0.750
In 0.348 0.848 0.250
In 0.348 0.848 0.750
In 0.652 0.152 0.250
In 0.652 0.152 0.750
In 0.848 0.652 0.250
In 0.848 0.652 0.750
Cl 0.000 0.000 0.246
Cl 0.000 0.000 0.754
Cl 0.178 0.744 0.000
Cl 0.244 0.678 0.500
Cl 0.256 0.178 0.000
Cl 0.322 0.244 0.500
Cl 0.500 0.500 0.254
Cl 0.500 0.500 0.746
Cl 0.678 0.756 0.500
Cl 0.744 0.822 0.000
Cl 0.756 0.322 0.500
Cl 0.822 0.256 0.000

***

Entry 3:
! TmIn4Cl7 | Alexandria | PBE | optimized geometry; values from VASP
! - crystal system = monoclinic
! - SG = C2/m
! - theoretical density (g/cm³) = 3.67
! - calculated volume (Å³ per atom) = 33.003
! - energy (eV for the cell shown) = -43.9
! - formation energy from raw total energies (eV per formula unit) = -15.593
&SYSTEM
  ibrav = 0, nat = 12, ntyp = 3
/
ATOMIC_SPECIES
Tm 168.93 Tm.upf
In 114.82 In.upf
Cl 35.45 Cl.upf
CELL_PARAMETERS angstrom
10.619 -2.588 0.000
10.619 2.588 0.000
-2.347 0.000 7.206
ATOMIC_POSITIONS crystal
Tm 0.000 0.000 0.000
In 0.307 0.307 0.752
In 0.416 0.416 0.373
In 0.584 0.584 0.627
In 0.693 0.693 0.248
Cl 0.080 0.080 0.339
Cl 0.104 0.104 0.885
Cl 0.279 0.279 0.345
Cl 0.500 0.500 0.000
Cl 0.721 0.721 0.655
Cl 0.896 0.896 0.115
Cl 0.920 0.920 0.661

***

Entry 4:
! TmVInCl6 | Alexandria | PBE | optimized geometry; values from VASP
! - crystal system = trigonal
! - SG = P-31c
! - theoretical density (g/cm³) = 3.36
! - calculated volume (Å³ per atom) = 30.080
! - energy (eV for the cell shown) = -83.4
! - formation energy from raw total energies (eV per formula unit) = -14.288
&SYSTEM
  ibrav = 0, nat = 18, ntyp = 4
/
ATOMIC_SPECIES
Tm 168.93 Tm.upf
V 50.94 V.upf
In 114.82 In.upf
Cl 35.45 Cl.upf
CELL_PARAMETERS angstrom
6.593 0.000 0.000
-3.296 5.709 0.000
0.000 0.000 14.385
ATOMIC_POSITIONS crystal
Tm 0.333 0.667 0.250
Tm 0.667 0.333 0.750
V 0.333 0.667 0.750
V 0.667 0.333 0.250
In 0.000 0.000 0.000
In 0.000 0.000 0.500
Cl 0.014 0.373 0.648
Cl 0.014 0.641 0.852
Cl 0.359 0.373 0.852
Cl 0.359 0.986 0.648
Cl 0.373 0.014 0.148
Cl 0.373 0.359 0.352
Cl 0.627 0.641 0.648
Cl 0.627 0.986 0.852
Cl 0.641 0.014 0.352
Cl 0.641 0.627 0.148
Cl 0.986 0.359 0.148
Cl 0.986 0.627 0.352

***

Entry 5:
! U2In5Cl12 | Alexandria | PBE | optimized geometry; values from VASP
! - crystal system = monoclinic
! - SG = C2/m
! - theoretical density (g/cm³) = 4.11
! - calculated volume (Å³ per atom) = 31.380
! - energy (eV for the cell shown) = -82.1
! - formation energy from raw total energies (eV per formula unit) = -23.720
&SYSTEM
  ibrav = 0, nat = 19, ntyp = 3
/
ATOMIC_SPECIES
U 238.03 U.upf
In 114.82 In.upf
Cl 35.45 Cl.upf
CELL_PARAMETERS angstrom
8.010 -4.914 0.000
8.010 4.914 0.000
-2.842 0.000 7.574
ATOMIC_POSITIONS crystal
U 0.247 0.753 0.000
U 0.753 0.247 0.000
In 0.000 0.000 0.500
In 0.254 0.254 0.019
In 0.350 0.350 0.510
In 0.650 0.650 0.490
In 0.746 0.746 0.981
Cl 0.083 0.083 0.183
Cl 0.092 0.701 0.200
Cl 0.143 0.520 0.764
Cl 0.299 0.908 0.800
Cl 0.477 0.477 0.178
Cl 0.480 0.857 0.236
Cl 0.520 0.143 0.764
Cl 0.523 0.523 0.822
Cl 0.701 0.092 0.200
Cl 0.857 0.480 0.236
Cl 0.908 0.299 0.800
Cl 0.917 0.917 0.817

***

Entry 6:
! UIn2Cl6 | Alexandria | PBE | optimized geometry; values from VASP
! - crystal system = monoclinic
! - SG = P2_1/c
! - theoretical density (g/cm³) = 3.41
! - calculated volume (Å³ per atom) = 36.841
! - energy (eV for the cell shown) = -80.1
! - formation energy from raw total energies (eV per formula unit) = -12.227
&SYSTEM
  ibrav = 0, nat = 18, ntyp = 3
/
ATOMIC_SPECIES
U 238.03 U.upf
In 114.82 In.upf
Cl 35.45 Cl.upf
CELL_PARAMETERS angstrom
7.548 0.000 0.000
0.000 7.997 0.000
-6.206 0.000 10.986
ATOMIC_POSITIONS crystal
U 0.000 0.000 0.000
U 0.000 0.500 0.500
In 0.318 0.082 0.780
In 0.318 0.418 0.280
In 0.682 0.582 0.720
In 0.682 0.918 0.220
Cl 0.064 0.079 0.219
Cl 0.064 0.421 0.719
Cl 0.238 0.739 0.089
Cl 0.238 0.761 0.589
Cl 0.324 0.174 0.038
Cl 0.324 0.326 0.538
Cl 0.676 0.674 0.462
Cl 0.676 0.826 0.962
Cl 0.762 0.239 0.411
Cl 0.762 0.261 0.911
Cl 0.936 0.579 0.281
Cl 0.936 0.921 0.781

***

Entry 7:
! U2InCl8 | Alexandria | PBE | optimized geometry; values from VASP
! - crystal system = monoclinic
! - SG = C2/m
! - theoretical density (g/cm³) = 4.93
! - calculated volume (Å³ per atom) = 26.777
! - energy (eV for the cell shown) = -57.1
! - formation energy from raw total energies (eV per formula unit) = -17.052
&SYSTEM
  ibrav = 0, nat = 11, ntyp = 3
/
ATOMIC_SPECIES
U 238.03 U.upf
In 114.82 In.upf
Cl 35.45 Cl.upf
CELL_PARAMETERS angstrom
4.300 -6.353 0.000
4.300 6.353 0.000
-0.996 0.000 5.391
ATOMIC_POSITIONS crystal
U 0.180 0.820 0.000
U 0.820 0.180 0.000
In 0.500 0.500 0.500
Cl 0.100 0.100 0.279
Cl 0.171 0.445 0.925
Cl 0.241 0.759 0.500
Cl 0.445 0.171 0.925
Cl 0.555 0.829 0.075
Cl 0.759 0.241 0.500
Cl 0.829 0.555 0.075
Cl 0.900 0.900 0.721

***

Entry 8:
! UIn2Cl8 | Alexandria | PBE | optimized geometry; values from VASP
! - crystal system = monoclinic
! - excess energy over the best structure of this formula in the dataset (eV/f.u.) = 0.21
! - SG = C2/m
! - theoretical density (g/cm³) = 3.36
! - calculated volume (Å³ per atom) = 33.797
! - energy (eV for the cell shown) = -45.2
! - formation energy from raw total energies (eV per formula unit) = -13.635
&SYSTEM
  ibrav = 0, nat = 11, ntyp = 3
/
ATOMIC_SPECIES
U 238.03 U.upf
In 114.82 In.upf
Cl 35.45 Cl.upf
CELL_PARAMETERS angstrom
6.401 -4.771 0.000
6.401 4.771 0.000
-2.086 0.000 6.087
ATOMIC_POSITIONS crystal
U 0.000 0.000 0.000
In 0.369 0.369 0.613
In 0.631 0.631 0.387
Cl 0.064 0.691 0.754
Cl 0.124 0.124 0.771
Cl 0.309 0.936 0.246
Cl 0.412 0.412 0.230
Cl 0.588 0.588 0.770
Cl 0.691 0.064 0.754
Cl 0.876 0.876 0.229
Cl 0.936 0.309 0.246

***

Entry 9:
! UIn2Cl8 | Alexandria | PBE | optimized geometry; values from VASP
! - crystal system = monoclinic
! - excess energy over the best structure of this formula in the dataset (eV/f.u.) = 0.00
! - SG = C2/m
! - theoretical density (g/cm³) = 3.44
! - calculated volume (Å³ per atom) = 32.975
! - energy (eV for the cell shown) = -45.4
! - formation energy from raw total energies (eV per formula unit) = -13.849
&SYSTEM
  ibrav = 0, nat = 11, ntyp = 3
/
ATOMIC_SPECIES
U 238.03 U.upf
In 114.82 In.upf
Cl 35.45 Cl.upf
CELL_PARAMETERS angstrom
6.553 -4.806 0.000
6.553 4.806 0.000
-0.258 0.000 5.759
ATOMIC_POSITIONS crystal
U 0.000 0.000 0.000
In 0.392 0.392 0.234
In 0.608 0.608 0.766
Cl 0.103 0.724 0.233
Cl 0.158 0.158 0.270
Cl 0.276 0.897 0.767
Cl 0.394 0.394 0.750
Cl 0.606 0.606 0.250
Cl 0.724 0.103 0.233
Cl 0.842 0.842 0.730
Cl 0.897 0.276 0.767

***

What is the energy in the eighth record? -45.2 eV for the cell shown

***

Look up the theoretical density of the third one. 3.67 g/cm³

***

Which of these has the highest formation energy from raw total energies? Tm2InCl